Entry 1:
# PBE Zr3PH, relaxed
data_Zr3PH
_symmetry_space_group_name_H-M 'P 1'
_symmetry_Int_Tables_number 1
_cell_length_a 4.301
_cell_length_b 4.301
_cell_length_c 4.301
_cell_angle_alpha 90.00
_cell_angle_beta 90.00
_cell_angle_gamma 90.00
loop_
_symmetry_equiv_pos_as_xyz
'x,y,z'
loop_
_atom_site_label
_atom_site_type_symbol
_atom_site_fract_x
_atom_site_fract_y
_atom_site_fract_z
_atom_site_occupancy
Zr1 Zr 0.500 0.000 0.000 1
Zr2 Zr 0.000 0.000 0.500 1
Zr3 Zr 0.000 0.500 0.000 1
H1 H 0.000 0.000 0.000 1
P1 P 0.500 0.500 0.500 1
# E above lowest polymorph, eV/atom: 0.083
# Space-group type: Pm-3m
# Spin magnetization, μB/f.u.: 0.00
# Uncorrected energy, eV/atom: -7.3380

***

Entry 2:
# PBE Zr4P3H, relaxed
data_Zr4P3H
_symmetry_space_group_name_H-M 'P 1'
_symmetry_Int_Tables_number 1
_cell_length_a 5.275
_cell_length_b 7.379
_cell_length_c 8.189
_cell_angle_alpha 90.00
_cell_angle_beta 90.00
_cell_angle_gamma 90.00
loop_
_symmetry_equiv_pos_as_xyz
'x,y,z'
loop_
_atom_site_label
_atom_site_type_symbol
_atom_site_fract_x
_atom_site_fract_y
_atom_site_fract_z
_atom_site_occupancy
P1 P 0.578 0.347 0.248 1
P2 P 0.078 0.653 0.252 1
Zr1 Zr 0.080 0.305 0.208 1
Zr2 Zr 0.579 0.136 0.500 1
H1 H 0.967 0.146 0.000 1
P3 P 0.078 0.653 0.748 1
P4 P 0.578 0.804 0.000 1
P5 P 0.578 0.347 0.752 1
Zr3 Zr 0.575 0.145 0.000 1
P6 P 0.078 0.196 0.500 1
Zr4 Zr 0.080 0.305 0.792 1
Zr5 Zr 0.079 0.864 0.000 1
H2 H 0.467 0.854 0.500 1
Zr6 Zr 0.580 0.695 0.708 1
Zr7 Zr 0.075 0.855 0.500 1
Zr8 Zr 0.580 0.695 0.292 1
# Space-group type: Pmn2_1
# Spin magnetization, μB/f.u.: 0.00
# Uncorrected energy, eV/atom: -7.5080

***

Entry 3:
# PBE Zr2PH, relaxed
data_Zr2PH
_symmetry_space_group_name_H-M 'P 1'
_symmetry_Int_Tables_number 1
_cell_length_a 3.646
_cell_length_b 3.646
_cell_length_c 6.936
_cell_angle_alpha 74.76
_cell_angle_beta 74.76
_cell_angle_gamma 60.00
loop_
_symmetry_equiv_pos_as_xyz
'x,y,z'
loop_
_atom_site_label
_atom_site_type_symbol
_atom_site_fract_x
_atom_site_fract_y
_atom_site_fract_z
_atom_site_occupancy
P1 P 0.500 0.500 0.500 1
Zr1 Zr 0.093 0.093 0.721 1
H1 H 0.000 0.000 0.000 1
Zr2 Zr 0.907 0.907 0.279 1
# E above lowest polymorph, eV/atom: 0.183
# Space-group type: R-3m
# Spin magnetization, μB/f.u.: 0.00
# Uncorrected energy, eV/atom: -7.0398

***

Entry 4:
# PBE ZrPH2, relaxed
data_ZrPH2
_symmetry_space_group_name_H-M 'P 1'
_symmetry_Int_Tables_number 1
_cell_length_a 3.724
_cell_length_b 3.724
_cell_length_c 7.017
_cell_angle_alpha 74.61
_cell_angle_beta 74.61
_cell_angle_gamma 90.00
loop_
_symmetry_equiv_pos_as_xyz
'x,y,z'
loop_
_atom_site_label
_atom_site_type_symbol
_atom_site_fract_x
_atom_site_fract_y
_atom_site_fract_z
_atom_site_occupancy
Zr1 Zr 0.750 0.250 0.500 1
Zr2 Zr 0.000 0.000 0.000 1
H1 H 0.114 0.625 0.250 1
H2 H 0.375 0.364 0.750 1
P1 P 0.500 0.500 0.000 1
H3 H 0.636 0.125 0.250 1
P2 P 0.250 0.750 0.500 1
H4 H 0.875 0.886 0.750 1
# E above lowest polymorph, eV/atom: 0.000
# Space-group type: I-42d
# Spin magnetization, μB/f.u.: 0.00
# Uncorrected energy, eV/atom: -5.3352

***

Entry 5:
# PBE Zr2PH, relaxed
data_Zr2PH
_symmetry_space_group_name_H-M 'P 1'
_symmetry_Int_Tables_number 1
_cell_length_a 6.278
_cell_length_b 6.278
_cell_length_c 5.416
_cell_angle_alpha 54.58
_cell_angle_beta 54.58
_cell_angle_gamma 90.00
loop_
_symmetry_equiv_pos_as_xyz
'x,y,z'
loop_
_atom_site_label
_atom_site_type_symbol
_atom_site_fract_x
_atom_site_fract_y
_atom_site_fract_z
_atom_site_occupancy
H1 H 0.250 0.750 0.500 1
Zr1 Zr 0.875 0.809 0.750 1
Zr2 Zr 0.375 0.441 0.750 1
H2 H 0.500 0.500 0.000 1
P1 P 0.000 0.000 0.000 1
Zr3 Zr 0.559 0.125 0.250 1
P2 P 0.750 0.250 0.500 1
Zr4 Zr 0.191 0.625 0.250 1
# E above lowest polymorph, eV/atom: 0.039
# Space-group type: I-42d
# Spin magnetization, μB/f.u.: 0.00
# Uncorrected energy, eV/atom: -7.1841

***

Entry 6:
# PBE ZrP3H, relaxed
data_ZrP3H
_symmetry_space_group_name_H-M 'P 1'
_symmetry_Int_Tables_number 1
_cell_length_a 4.065
_cell_length_b 4.065
_cell_length_c 4.065
_cell_angle_alpha 90.00
_cell_angle_beta 90.00
_cell_angle_gamma 90.00
loop_
_symmetry_equiv_pos_as_xyz
'x,y,z'
loop_
_atom_site_label
_atom_site_type_symbol
_atom_site_fract_x
_atom_site_fract_y
_atom_site_fract_z
_atom_site_occupancy
H1 H 0.000 0.000 0.000 1
P1 P 0.000 0.500 0.000 1
P2 P 0.500 0.000 0.000 1
P3 P 0.000 0.000 0.500 1
Zr1 Zr 0.500 0.500 0.500 1
# E above lowest polymorph, eV/atom: 0.000
# Space-group type: Pm-3m
# Spin magnetization, μB/f.u.: 0.00
# Uncorrected energy, eV/atom: -5.4334

***

Entry 7:
# PBE Zr4PH, relaxed
data_Zr4PH
_symmetry_space_group_name_H-M 'P 1'
_symmetry_Int_Tables_number 1
_cell_length_a 5.961
_cell_length_b 5.929
_cell_length_c 7.426
_cell_angle_alpha 111.91
_cell_angle_beta 112.05
_cell_angle_gamma 93.72
loop_
_symmetry_equiv_pos_as_xyz
'x,y,z'
loop_
_atom_site_label
_atom_site_type_symbol
_atom_site_fract_x
_atom_site_fract_y
_atom_site_fract_z
_atom_site_occupancy
H1 H 0.891 0.141 0.283 1
Zr1 Zr 0.941 0.299 0.093 1
Zr2 Zr 0.783 0.965 0.606 1
Zr3 Zr 0.677 0.359 0.394 1
Zr4 Zr 0.059 0.701 0.907 1
P1 P 0.625 0.375 0.751 1
Zr5 Zr 0.347 0.206 0.907 1
Zr6 Zr 0.323 0.641 0.606 1
P2 P 0.375 0.625 0.249 1
Zr7 Zr 0.217 0.035 0.394 1
Zr8 Zr 0.653 0.794 0.093 1
H2 H 0.109 0.859 0.717 1
# Space-group type: C2/c
# Spin magnetization, μB/f.u.: 0.00
# Uncorrected energy, eV/atom: -7.7261

***

Entry 8:
# PBE Zr2PH3, relaxed
data_Zr2PH3
_symmetry_space_group_name_H-M 'P 1'
_symmetry_Int_Tables_number 1
_cell_length_a 3.373
_cell_length_b 6.736
_cell_length_c 6.493
_cell_angle_alpha 112.03
_cell_angle_beta 90.00
_cell_angle_gamma 104.50
loop_
_symmetry_equiv_pos_as_xyz
'x,y,z'
loop_
_atom_site_label
_atom_site_type_symbol
_atom_site_fract_x
_atom_site_fract_y
_atom_site_fract_z
_atom_site_occupancy
H1 H 0.394 0.787 0.337 1
H2 H 0.074 0.148 0.442 1
Zr1 Zr 0.792 0.584 0.270 1
H3 H 0.606 0.213 0.663 1
Zr2 Zr 0.208 0.416 0.730 1
H4 H 0.694 0.388 0.477 1
Zr3 Zr 0.471 0.942 0.746 1
H5 H 0.306 0.612 0.523 1
P1 P 0.876 0.752 0.946 1
Zr4 Zr 0.529 0.058 0.254 1
P2 P 0.124 0.248 0.054 1
H6 H 0.926 0.852 0.558 1
# Space-group type: C2/m
# Spin magnetization, μB/f.u.: 0.00
# Uncorrected energy, eV/atom: -6.1211

***

Entry 9:
# PBE ZrP4H2, relaxed
data_ZrP4H2
_symmetry_space_group_name_H-M 'P 1'
_symmetry_Int_Tables_number 1
_cell_length_a 4.981
_cell_length_b 4.981
_cell_length_c 6.619
_cell_angle_alpha 67.90
_cell_angle_beta 67.90
_cell_angle_gamma 90.00
loop_
_symmetry_equiv_pos_as_xyz
'x,y,z'
loop_
_atom_site_label
_atom_site_type_symbol
_atom_site_fract_x
_atom_site_fract_y
_atom_site_fract_z
_atom_site_occupancy
Zr1 Zr 0.000 0.000 0.000 1
P1 P 0.774 0.774 0.451 1
H1 H 0.353 0.353 0.294 1
H2 H 0.647 0.647 0.706 1
P2 P 0.000 0.500 0.000 1
P3 P 0.500 0.000 0.000 1
P4 P 0.226 0.226 0.549 1
# Space-group type: I4/mmm
# Spin magnetization, μB/f.u.: 0.72
# Uncorrected energy, eV/atom: -4.6682

***

Entry 10:
# PBE ZrPH2, relaxed
data_ZrPH2
_symmetry_space_group_name_H-M 'P 1'
_symmetry_Int_Tables_number 1
_cell_length_a 3.853
_cell_length_b 3.853
_cell_length_c 3.853
_cell_angle_alpha 60.00
_cell_angle_beta 60.00
_cell_angle_gamma 60.00
loop_
_symmetry_equiv_pos_as_xyz
'x,y,z'
loop_
_atom_site_label
_atom_site_type_symbol
_atom_site_fract_x
_atom_site_fract_y
_atom_site_fract_z
_atom_site_occupancy
H1 H 0.250 0.250 0.250 1
Zr1 Zr 0.500 0.500 0.500 1
P1 P 0.000 0.000 0.000 1
H2 H 0.750 0.750 0.750 1
# E above lowest polymorph, eV/atom: 0.183
# Space-group type: Fm-3m
# Spin magnetization, μB/f.u.: 0.00
# Uncorrected energy, eV/atom: -5.1524

***

Entry 11:
# PBE Zr3PH, relaxed
data_Zr3PH
_symmetry_space_group_name_H-M 'P 1'
_symmetry_Int_Tables_number 1
_cell_length_a 3.436
_cell_length_b 7.632
_cell_length_c 7.473
_cell_angle_alpha 103.42
_cell_angle_beta 89.82
_cell_angle_gamma 102.97
loop_
_symmetry_equiv_pos_as_xyz
'x,y,z'
loop_
_atom_site_label
_atom_site_type_symbol
_atom_site_fract_x
_atom_site_fract_y
_atom_site_fract_z
_atom_site_occupancy
P1 P 0.355 0.708 0.638 1
Zr1 Zr 0.350 0.695 0.986 1
P2 P 0.645 0.292 0.362 1
Zr2 Zr 0.825 0.645 0.366 1
Zr3 Zr 0.175 0.355 0.634 1
Zr4 Zr 0.984 0.969 0.766 1
H1 H 0.124 0.251 0.861 1
H2 H 0.876 0.749 0.139 1
Zr5 Zr 0.016 0.031 0.234 1
Zr6 Zr 0.650 0.305 0.014 1
# E above lowest polymorph, eV/atom: 0.000
# Space-group type: P-1
# Spin magnetization, μB/f.u.: 0.00
# Uncorrected energy, eV/atom: -7.4210

***

Entry 12:
# PBE Zr5P4H, relaxed
data_Zr5P4H
_symmetry_space_group_name_H-M 'P 1'
_symmetry_Int_Tables_number 1
_cell_length_a 5.270
_cell_length_b 6.387
_cell_length_c 6.387
_cell_angle_alpha 80.20
_cell_angle_beta 65.64
_cell_angle_gamma 65.64
loop_
_symmetry_equiv_pos_as_xyz
'x,y,z'
loop_
_atom_site_label
_atom_site_type_symbol
_atom_site_fract_x
_atom_site_fract_y
_atom_site_fract_z
_atom_site_occupancy
Zr1 Zr 0.891 0.409 0.801 1
Zr2 Zr 0.100 0.591 0.199 1
H1 H 0.077 0.000 0.000 1
P1 P 0.397 0.398 0.798 1
P2 P 0.195 0.202 0.398 1
Zr3 Zr 0.472 0.000 0.000 1
Zr4 Zr 0.692 0.199 0.409 1
Zr5 Zr 0.299 0.801 0.591 1
P3 P 0.795 0.798 0.602 1
P4 P 0.593 0.602 0.202 1
# Space-group type: I4
# Spin magnetization, μB/f.u.: 0.00
# Uncorrected energy, eV/atom: -7.8858